(A)
# TiTl3Bi (PBE, optimized geometry)
# M_tot	0.00	μB/cell
data_TiTl3Bi
_symmetry_space_group_name_H-M 'P m -3 m'
_symmetry_Int_Tables_number 221
_symmetry_space_group_name_Hall '-P 4 2 3'
_cell_length_a 5.461
_cell_length_b 5.461
_cell_length_c 5.461
_cell_angle_alpha 90.00
_cell_angle_beta 90.00
_cell_angle_gamma 90.00
loop_
_atom_site_label
_atom_site_fract_x
_atom_site_fract_y
_atom_site_fract_z
Ti1 0.000 0.000 0.000
Tl1 0.000 0.000 0.500
Bi1 0.500 0.500 0.500

***

(B)
# TiTl3Bi (PBE, optimized geometry)
# M_tot	0.15	μB/cell
data_TiTl3Bi
_symmetry_space_group_name_H-M 'P m -3 m'
_symmetry_Int_Tables_number 221
_symmetry_space_group_name_Hall '-P 4 2 3'
_cell_length_a 5.916
_cell_length_b 5.916
_cell_length_c 5.916
_cell_angle_alpha 90.00
_cell_angle_beta 90.00
_cell_angle_gamma 90.00
loop_
_atom_site_label
_atom_site_fract_x
_atom_site_fract_y
_atom_site_fract_z
Ti1 0.000 0.000 0.000
Tl1 0.000 0.500 0.500
Bi1 0.500 0.500 0.500

***

It is (A) that is the most stable of them.

***

(A)
# Ti3VBi (PBE, optimized geometry)
# M_tot	0.00	μB/cell
data_Ti3VBi
_symmetry_space_group_name_H-M 'C 1 2/c 1'
_symmetry_Int_Tables_number 15
_symmetry_space_group_name_Hall '-C 2yc'
_cell_length_a 13.640
_cell_length_b 8.453
_cell_length_c 6.657
_cell_angle_alpha 90.00
_cell_angle_beta 94.68
_cell_angle_gamma 90.00
loop_
_atom_site_label
_atom_site_fract_x
_atom_site_fract_y
_atom_site_fract_z
Ti1 0.107 0.080 0.397
Ti2 0.161 0.277 0.057
Ti3 0.178 0.340 0.620
V1 0.242 0.014 0.660
Bi1 0.000 0.188 0.750
Bi2 0.000 0.402 0.250

***

(B)
# Ti3VBi (PBE, optimized geometry)
# M_tot	1.86	μB/cell
data_Ti3VBi
_symmetry_space_group_name_H-M 'P m -3 m'
_symmetry_Int_Tables_number 221
_symmetry_space_group_name_Hall '-P 4 2 3'
_cell_length_a 4.649
_cell_length_b 4.649
_cell_length_c 4.649
_cell_angle_alpha 90.00
_cell_angle_beta 90.00
_cell_angle_gamma 90.00
loop_
_atom_site_label
_atom_site_fract_x
_atom_site_fract_y
_atom_site_fract_z
Ti1 0.000 0.000 0.500
V1 0.000 0.000 0.000
Bi1 0.500 0.500 0.500

***

It is (A) that is the most stable of them.

***

(A)
# TiVBi (PBE, optimized geometry)
# M_tot	0.00	μB/cell
data_TiVBi
_symmetry_space_group_name_H-M 'I 4 m m'
_symmetry_Int_Tables_number 107
_symmetry_space_group_name_Hall 'I 4 -2'
_cell_length_a 3.500
_cell_length_b 3.500
_cell_length_c 8.964
_cell_angle_alpha 90.00
_cell_angle_beta 90.00
_cell_angle_gamma 90.00
loop_
_atom_site_label
_atom_site_fract_x
_atom_site_fract_y
_atom_site_fract_z
Ti1 0.000 0.000 0.000
V1 0.000 0.000 0.644
Bi1 0.000 0.000 0.319

***

(B)
# TiVBi (PBE, optimized geometry)
# M_tot	0.00	μB/cell
data_TiVBi
_symmetry_space_group_name_H-M 'I 4/m m m'
_symmetry_Int_Tables_number 139
_symmetry_space_group_name_Hall '-I 4 2'
_cell_length_a 3.259
_cell_length_b 3.259
_cell_length_c 24.351
_cell_angle_alpha 90.00
_cell_angle_beta 90.00
_cell_angle_gamma 90.00
loop_
_atom_site_label
_atom_site_fract_x
_atom_site_fract_y
_atom_site_fract_z
Ti1 0.000 0.000 0.164
V1 0.000 0.000 0.278
Bi1 0.000 0.000 0.420

***

It is (B) that is the most stable of them.

***

(A)
# YTiBi2 (PBE, optimized geometry)
# M_tot	0.00	μB/cell
data_YTiBi2
_symmetry_space_group_name_H-M 'R -3 m'
_symmetry_Int_Tables_number 166
_symmetry_space_group_name_Hall '-R 3 2"'
_cell_length_a 3.4974
_cell_length_b 3.4974
_cell_length_c 32.2374
_cell_angle_alpha 90.00
_cell_angle_beta 90.00
_cell_angle_gamma 120.00
loop_
_atom_site_label
_atom_site_fract_x
_atom_site_fract_y
_atom_site_fract_z
Y1 0.0000 0.0000 0.0000
Ti1 0.0000 0.0000 0.5000
Bi1 0.0000 0.0000 0.0993

***

(B)
# YTiBi2 (PBE, optimized geometry)
# M_tot	7.55	μB/cell
data_YTiBi2
_symmetry_space_group_name_H-M 'F m -3 m'
_symmetry_Int_Tables_number 225
_symmetry_space_group_name_Hall '-F 4 2 3'
_cell_length_a 7.478
_cell_length_b 7.478
_cell_length_c 7.478
_cell_angle_alpha 90.00
_cell_angle_beta 90.00
_cell_angle_gamma 90.00
loop_
_atom_site_label
_atom_site_fract_x
_atom_site_fract_y
_atom_site_fract_z
Y1 0.000 0.000 0.000
Ti1 0.000 0.000 0.500
Bi1 0.250 0.250 0.250

***

(C)
# YTiBi2 (PBE, optimized geometry)
# M_tot	4.00	μB/cell
data_YTiBi2
_symmetry_space_group_name_H-M 'I -4 2 d'
_symmetry_Int_Tables_number 122
_symmetry_space_group_name_Hall 'I -4 2bw'
_cell_length_a 6.810
_cell_length_b 6.810
_cell_length_c 13.280
_cell_angle_alpha 90.00
_cell_angle_beta 90.00
_cell_angle_gamma 90.00
loop_
_atom_site_label
_atom_site_fract_x
_atom_site_fract_y
_atom_site_fract_z
Y1 0.000 0.000 0.000
Ti1 0.000 0.000 0.500
Bi1 0.212 0.250 0.625

***

It is (B) that is the most stable of them.

***

(A)
# Ti2Zn2Bi (PBE, optimized geometry)
# M_tot	0.00	μB/cell
data_Ti2Zn2Bi
_symmetry_space_group_name_H-M 'I 4/m m m'
_symmetry_Int_Tables_number 139
_symmetry_space_group_name_Hall '-I 4 2'
_cell_length_a 4.159
_cell_length_b 4.159
_cell_length_c 11.604
_cell_angle_alpha 90.00
_cell_angle_beta 90.00
_cell_angle_gamma 90.00
loop_
_atom_site_label
_atom_site_fract_x
_atom_site_fract_y
_atom_site_fract_z
Ti1 0.000 0.500 0.250
Zn1 0.000 0.000 0.105
Bi1 0.000 0.000 0.500

***

(B)
# Ti2Zn2Bi (PBE, optimized geometry)
# M_tot	0.20	μB/cell
data_Ti2Zn2Bi
_symmetry_space_group_name_H-M 'P 4/m b m'
_symmetry_Int_Tables_number 127
_symmetry_space_group_name_Hall '-P 4 2ab'
_cell_length_a 7.113
_cell_length_b 7.113
_cell_length_c 3.859
_cell_angle_alpha 90.00
_cell_angle_beta 90.00
_cell_angle_gamma 90.00
loop_
_atom_site_label
_atom_site_fract_x
_atom_site_fract_y
_atom_site_fract_z
Ti1 0.144 0.356 0.000
Zn1 0.144 0.644 0.500
Bi1 0.000 0.000 0.000

***

(C)
# Ti2Zn2Bi (PBE, optimized geometry)
# M_tot	0.00	μB/cell
data_Ti2Zn2Bi
_symmetry_space_group_name_H-M 'P 4/m b m'
_symmetry_Int_Tables_number 127
_symmetry_space_group_name_Hall '-P 4 2ab'
_cell_length_a 6.987
_cell_length_b 6.987
_cell_length_c 3.771
_cell_angle_alpha 90.00
_cell_angle_beta 90.00
_cell_angle_gamma 90.00
loop_
_atom_site_label
_atom_site_fract_x
_atom_site_fract_y
_atom_site_fract_z
Ti1 0.171 0.329 0.000
Zn1 0.121 0.621 0.500
Bi1 0.000 0.000 0.500

***

It is (C) that is the most stable of them.

***

(A)
# ZrTi3Bi (PBE, optimized geometry)
# M_tot	1.84	μB/cell
data_ZrTi3Bi
_symmetry_space_group_name_H-M 'P m -3 m'
_symmetry_Int_Tables_number 221
_symmetry_space_group_name_Hall '-P 4 2 3'
_cell_length_a 4.909
_cell_length_b 4.909
_cell_length_c 4.909
_cell_angle_alpha 90.00
_cell_angle_beta 90.00
_cell_angle_gamma 90.00
loop_
_atom_site_label
_atom_site_fract_x
_atom_site_fract_y
_atom_site_fract_z
Zr1 0.000 0.000 0.000
Ti1 0.000 0.000 0.500
Bi1 0.500 0.500 0.500

***

(B)
# ZrTi3Bi (PBE, optimized geometry)
# M_tot	0.74	μB/cell
data_ZrTi3Bi
_symmetry_space_group_name_H-M 'P m -3 m'
_symmetry_Int_Tables_number 221
_symmetry_space_group_name_Hall '-P 4 2 3'
_cell_length_a 5.070
_cell_length_b 5.070
_cell_length_c 5.070
_cell_angle_alpha 90.00
_cell_angle_beta 90.00
_cell_angle_gamma 90.00
loop_
_atom_site_label
_atom_site_fract_x
_atom_site_fract_y
_atom_site_fract_z
Zr1 0.000 0.000 0.000
Ti1 0.000 0.500 0.500
Bi1 0.500 0.500 0.500

***

(C)
# ZrTi3Bi (PBE, optimized geometry)
# M_tot	0.00	μB/cell
data_ZrTi3Bi
_symmetry_space_group_name_H-M 'P n m a'
_symmetry_Int_Tables_number 62
_symmetry_space_group_name_Hall '-P 2ac 2n'
_cell_length_a 7.465
_cell_length_b 7.342
_cell_length_c 7.657
_cell_angle_alpha 90.00
_cell_angle_beta 90.00
_cell_angle_gamma 90.00
loop_
_atom_site_label
_atom_site_fract_x
_atom_site_fract_y
_atom_site_fract_z
Zr1 0.168 0.250 0.046
Ti1 0.124 0.750 0.190
Ti2 0.148 0.564 0.840
Bi1 0.000 0.000 0.500

***

It is (C) that is the most stable of them.

***

(A)
# ZrTi4Bi2 (PBE, optimized geometry)
# M_tot	0.00	μB/cell
data_ZrTi4Bi2
_symmetry_space_group_name_H-M 'P 42/m n m'
_symmetry_Int_Tables_number 136
_symmetry_space_group_name_Hall '-P 4n 2n'
_cell_length_a 9.028
_cell_length_b 9.028
_cell_length_c 3.714
_cell_angle_alpha 90.00
_cell_angle_beta 90.00
_cell_angle_gamma 90.00
loop_
_atom_site_label
_atom_site_fract_x
_atom_site_fract_y
_atom_site_fract_z
Zr1 0.000 0.000 0.000
Ti1 0.076 0.351 0.500
Bi1 0.192 0.808 0.500

***

(B)
# ZrTi4Bi2 (PBE, optimized geometry)
# M_tot	0.00	μB/cell
data_ZrTi4Bi2
_symmetry_space_group_name_H-M 'I 4/m m m'
_symmetry_Int_Tables_number 139
_symmetry_space_group_name_Hall '-I 4 2'
_cell_length_a 3.951
_cell_length_b 3.951
_cell_length_c 19.243
_cell_angle_alpha 90.00
_cell_angle_beta 90.00
_cell_angle_gamma 90.00
loop_
_atom_site_label
_atom_site_fract_x
_atom_site_fract_y
_atom_site_fract_z
Zr1 0.000 0.000 0.000
Ti1 0.000 0.000 0.143
Ti2 0.000 0.500 0.250
Bi1 0.000 0.000 0.398

***

It is (A) that is the most stable of them.

***

(A)
# ZrTiBi3 (PBE, optimized geometry)
# M_tot	1.43	μB/cell
data_ZrTiBi3
_symmetry_space_group_name_H-M 'P m -3 m'
_symmetry_Int_Tables_number 221
_symmetry_space_group_name_Hall '-P 4 2 3'
_cell_length_a 5.366
_cell_length_b 5.366
_cell_length_c 5.366
_cell_angle_alpha 90.00
_cell_angle_beta 90.00
_cell_angle_gamma 90.00
loop_
_atom_site_label
_atom_site_fract_x
_atom_site_fract_y
_atom_site_fract_z
Zr1 0.000 0.000 0.000
Ti1 0.500 0.500 0.500
Bi1 0.000 0.500 0.500

***

(B)
# ZrTiBi3 (PBE, optimized geometry)
# M_tot	0.00	μB/cell
data_ZrTiBi3
_symmetry_space_group_name_H-M 'P 1 21/m 1'
_symmetry_Int_Tables_number 11
_symmetry_space_group_name_Hall '-P 2yb'
_cell_length_a 3.940
_cell_length_b 10.509
_cell_length_c 7.045
_cell_angle_alpha 90.00
_cell_angle_beta 106.09
_cell_angle_gamma 90.00
loop_
_atom_site_label
_atom_site_fract_x
_atom_site_fract_y
_atom_site_fract_z
Zr1 0.249 0.250 0.499
Ti1 0.434 0.750 0.863
Bi1 0.082 0.750 0.160
Bi2 0.345 0.519 0.693

***

It is (B) that is the most stable of them.